1.
# KH4F5 | the Alexandria database | SCAN | single point on PBEsol structure
data_KH4F5
_chemical_formula_sum 'K4 H16 F20'
_symmetry_space_group_name_H-M 'I 41/a'
_symmetry_Int_Tables_number 88
_cell_length_a 6.232
_cell_length_b 6.232
_cell_length_c 12.479
_cell_angle_alpha 90.00
_cell_angle_beta 90.00
_cell_angle_gamma 90.00
loop_
_symmetry_equiv_pos_as_xyz
'x,y,z'
'-x,-y,-z'
'-y+3/4,x+1/4,z+1/4'
'y+3/4,-x+1/4,-z+1/4'
'-x+1/2,-y,z+1/2'
'x+1/2,y,-z+1/2'
'y+3/4,-x+3/4,z+3/4'
'-y+3/4,x+3/4,-z+3/4'
'x+1/2,y+1/2,z+1/2'
'-x+1/2,-y+1/2,-z+1/2'
'-y+1/4,x+3/4,z+3/4'
'y+1/4,-x+3/4,-z+3/4'
'-x,-y+1/2,z'
'x,y+1/2,-z'
'y+1/4,-x+1/4,z+1/4'
'-y+1/4,x+1/4,-z+1/4'
loop_
_atom_site_label
_atom_site_fract_x
_atom_site_fract_y
_atom_site_fract_z
K1 0.000 0.250 0.125
H1 0.121 0.099 0.687
F1 0.000 0.250 0.625
F2 0.207 0.494 0.271
# energy: -5.943 eV per atom
# N(E_F): 0.0 states/eV per cell

=====

2.
# KH3F4 | the Alexandria database | SCAN | single point on PBEsol structure
data_KH3F4
_chemical_formula_sum 'K6 H18 F24'
_symmetry_space_group_name_H-M 'R -3 c'
_symmetry_Int_Tables_number 167
_symmetry_space_group_name_Hall '-R 3 2"c'
_cell_length_a 7.3257
_cell_length_b 7.3257
_cell_length_c 12.0665
_cell_angle_alpha 90.00
_cell_angle_beta 90.00
_cell_angle_gamma 120.00
loop_
_atom_site_label
_atom_site_fract_x
_atom_site_fract_y
_atom_site_fract_z
K1 0.0000 0.0000 0.0000
H1 0.0000 0.1871 0.2500
F1 0.0000 0.0000 0.2500
F2 0.0000 0.3248 0.2500
# energy: -6.147 eV per atom
# N(E_F): 0.0 states/eV per cell

=====

3.
# K2MnH2OF5 | the Alexandria database | SCAN | single point on PBEsol structure
data_K2MnH2OF5
_chemical_formula_sum 'K4 Mn2 H4 O2 F10'
_symmetry_space_group_name_H-M 'P 1 21/m 1'
_symmetry_Int_Tables_number 11
_cell_length_a 5.871
_cell_length_b 8.229
_cell_length_c 6.138
_cell_angle_alpha 90.00
_cell_angle_beta 97.79
_cell_angle_gamma 90.00
loop_
_symmetry_equiv_pos_as_xyz
'x,y,z'
'-x,-y,-z'
'-x,y+1/2,-z'
'x,-y+1/2,z'
loop_
_atom_site_label
_atom_site_fract_x
_atom_site_fract_y
_atom_site_fract_z
K1 0.005 0.250 0.107
K2 0.401 0.750 0.481
Mn1 0.500 0.000 0.000
H1 0.145 0.153 0.627
O1 0.074 0.250 0.549
F1 0.260 0.541 0.156
F2 0.294 0.504 0.735
F3 0.446 0.250 0.043
# energy: -8.455 eV per atom

=====

4.
# KHN2F | the Alexandria database | SCAN | single point on PBEsol structure
data_KHN2F
_chemical_formula_sum 'K1 H1 N2 F1'
_symmetry_space_group_name_H-M 'P 4/m m m'
_symmetry_Int_Tables_number 123
_symmetry_space_group_name_Hall '-P 4 2'
_cell_length_a 3.237
_cell_length_b 3.237
_cell_length_c 5.584
_cell_angle_alpha 90.00
_cell_angle_beta 90.00
_cell_angle_gamma 90.00
loop_
_atom_site_label
_atom_site_fract_x
_atom_site_fract_y
_atom_site_fract_z
K1 0.000 0.000 0.000
H1 0.500 0.500 0.500
N1 0.000 0.500 0.500
F1 0.500 0.500 0.000
# energy: -5.893 eV per atom
# N(E_F): 1.0 states/eV per cell